(1)
First-principles (PBE-GGA) data for a relaxed BaMn2Be crystal, as listed in Alexandria.

a = 4.975 Å, b = 4.975 Å, c = 7.187 Å
α = 90.00°, β = 90.00°, γ = 90.00°
Space group I-4m2 (No. 119)
Inequivalent atoms, fractional coordinates:
Ba1 0.000 0.000 0.000 [2 per cell]
Mn1 0.000 0.000 0.500 [2 per cell]
Mn2 0.000 0.500 0.250 [2 per cell]
Be1 0.000 0.500 0.750 [2 per cell]

For the total energy, the calculation gives -20.015 eV per formula unit.

---

(2)
First-principles (PBE-GGA) data for a relaxed SbOsI2Cl crystal, as listed in Alexandria.

a = 5.481 Å, b = 5.481 Å, c = 5.085 Å
α = 90.00°, β = 90.00°, γ = 90.00°
Space group P4/mmm (No. 123)
Inequivalent atoms, fractional coordinates:
Sb1 0.000 0.000 0.000 [1 per cell]
Os1 0.000 0.000 0.500 [1 per cell]
I1 0.000 0.500 0.500 [2 per cell]
Cl1 0.500 0.500 0.000 [1 per cell]

For the energy above the lowest structure with this stoichiometry, the calculation gives 0.000 eV/atom. For the uncorrected formation energy, the calculation gives 51.6 kJ per mole of atoms.

---

(3)
First-principles (PBE-GGA) data for a relaxed La2PmNd8 crystal, as listed in Alexandria.

a = 19.620 Å, b = 7.182 Å, c = 5.777 Å
α = 90.00°, β = 93.51°, γ = 90.00°
Space group C2/m (No. 12)
Inequivalent atoms, fractional coordinates:
La1 0.216 0.000 0.261 [4 per cell]
Pm1 0.000 0.500 0.000 [2 per cell]
Nd1 0.045 0.000 0.237 [4 per cell]
Nd2 0.128 0.235 0.733 [8 per cell]
Nd3 0.184 0.500 0.228 [4 per cell]

For the total energy, the calculation gives -51.035 eV per formula unit.

---

(4)
First-principles (PBE-GGA) data for a relaxed La12Er7Mg crystal, as listed in Alexandria.

a = 11.634 Å, b = 11.634 Å, c = 11.634 Å
α = 90.00°, β = 90.00°, γ = 90.00°
Space group Im-3 (No. 204)
Inequivalent atoms, fractional coordinates:
La1 0.000 0.213 0.286 [24 per cell]
Er1 0.000 0.000 0.500 [6 per cell]
Er2 0.250 0.250 0.250 [8 per cell]
Mg1 0.000 0.000 0.000 [2 per cell]

For the total energy, the calculation gives -80.000 eV per formula unit.

---

(5)
First-principles (PBE-GGA) data for a relaxed NaRe3S crystal, as listed in Alexandria.

a = 4.543 Å, b = 4.543 Å, c = 4.543 Å
α = 90.00°, β = 90.00°, γ = 90.00°
Space group Pm-3m (No. 221)
Inequivalent atoms, fractional coordinates:
Na1 0.000 0.000 0.000 [1 per cell]
Re1 0.000 0.000 0.500 [3 per cell]
S1 0.500 0.500 0.500 [1 per cell]

For the energy above the lowest structure with this stoichiometry, the calculation gives 2.384 eV/atom. For the uncorrected formation energy, the calculation gives 339.4 kJ per mole of atoms.

---

(6)
First-principles (PBE-GGA) data for a relaxed NaSiPd3 crystal, as listed in Alexandria.

a = 10.123 Å, b = 5.791 Å, c = 7.244 Å
α = 90.00°, β = 124.15°, γ = 90.00°
Space group Cm (No. 8)
Inequivalent atoms, fractional coordinates:
Na1 0.000 0.000 0.000 [2 per cell]
Na2 0.103 0.000 0.547 [2 per cell]
Si1 0.103 0.500 0.756 [2 per cell]
Si2 0.211 0.500 0.252 [2 per cell]
Pd1 0.049 0.500 0.397 [2 per cell]
Pd2 0.273 0.243 0.056 [4 per cell]
Pd3 0.358 0.240 0.544 [4 per cell]
Pd4 0.453 0.000 0.936 [2 per cell]

For the uncorrected formation energy, the calculation gives -39.5 kJ per mole of atoms.

---

(7)
First-principles (PBE-GGA) data for a relaxed Eu3Ag5S12 crystal, as listed in Alexandria.

a = 15.503 Å, b = 15.503 Å, c = 15.503 Å
α = 90.00°, β = 90.00°, γ = 90.00°
Space group Ia-3d (No. 230)
Inequivalent atoms, fractional coordinates:
Eu1 0.000 0.250 0.125 [24 per cell]
Ag1 0.000 0.000 0.000 [16 per cell]
Ag2 0.000 0.250 0.375 [24 per cell]
S1 0.020 0.061 0.648 [96 per cell]

For the uncorrected formation energy, the calculation gives -35.6 kJ per mole of atoms.

---

(8)
First-principles (PBE-GGA) data for a relaxed NaHg2As crystal, as listed in Alexandria.

a = 4.504 Å, b = 4.504 Å, c = 4.442 Å
α = 90.00°, β = 90.00°, γ = 90.00°
Space group P4/mmm (No. 123)
Inequivalent atoms, fractional coordinates:
Na1 0.000 0.000 0.000 [1 per cell]
Hg1 0.000 0.500 0.500 [2 per cell]
As1 0.500 0.500 0.000 [1 per cell]

For the total energy, the calculation gives -6.691 eV per formula unit.

---

(9)
First-principles (PBE-GGA) data for a relaxed CdTe2Pb crystal, as listed in Alexandria.

a = 6.550 Å, b = 11.669 Å, c = 3.254 Å
α = 90.00°, β = 109.82°, γ = 90.00°
Space group C2/m (No. 12)
Inequivalent atoms, fractional coordinates:
Cd1 0.000 0.000 0.000 [2 per cell]
Te1 0.250 0.250 0.500 [4 per cell]
Pb1 0.000 0.500 0.000 [2 per cell]

For the uncorrected formation energy, the calculation gives 7.2 kJ per mole of atoms.

---

(10)
First-principles (PBE-GGA) data for a relaxed Ba2MgGa3Ag12 crystal, as listed in Alexandria.

a = 8.9436 Å, b = 8.9436 Å, c = 20.3935 Å
α = 90.00°, β = 90.00°, γ = 120.00°
Space group R-3m (No. 166, hexagonal axes)
Inequivalent atoms, fractional coordinates:
Ba1 0.0000 0.0000 0.1139 [6 per cell]
Mg1 0.0000 0.0000 0.5000 [3 per cell]
Ga1 0.0000 0.5000 0.0000 [9 per cell]
Ag1 0.0066 0.5033 0.1260 [18 per cell]
Ag2 0.0215 0.5108 0.3586 [18 per cell]

For the total energy, the calculation gives -45.702 eV per formula unit.

---

(11)
First-principles (PBE-GGA) data for a relaxed Li2OsCl6 crystal, as listed in Alexandria.

a = 6.257 Å, b = 6.726 Å, c = 11.616 Å
α = 90.00°, β = 119.18°, γ = 90.00°
Space group P2_1/c (No. 14)
Inequivalent atoms, fractional coordinates:
Li1 0.134 0.131 0.153 [4 per cell]
Os1 0.500 0.000 0.000 [2 per cell]
Cl1 0.152 0.062 0.791 [4 per cell]
Cl2 0.244 0.680 0.560 [4 per cell]
Cl3 0.418 0.213 0.582 [4 per cell]

For the energy above the lowest structure with this stoichiometry, the calculation gives 0.000 eV/atom. For the uncorrected formation energy, the calculation gives -97.3 kJ per mole of atoms.

---

(12)
First-principles (PBE-GGA) data for a relaxed Cs2UZnSe5 crystal, as listed in Alexandria.

a = 4.178 Å, b = 21.228 Å, c = 15.086 Å
α = 90.00°, β = 90.00°, γ = 90.00°
Space group Cmc2_1 (No. 36)
Inequivalent atoms, fractional coordinates:
Cs1 0.000 0.121 0.000 [4 per cell]
Cs2 0.000 0.125 0.630 [4 per cell]
U1 0.000 0.201 0.328 [4 per cell]
Zn1 0.000 0.424 0.745 [4 per cell]
Se1 0.000 0.073 0.343 [4 per cell]
Se2 0.000 0.296 0.948 [4 per cell]
Se3 0.000 0.305 0.704 [4 per cell]
Se4 0.000 0.322 0.316 [4 per cell]
Se5 0.000 0.488 0.618 [4 per cell]

For the uncorrected formation energy, the calculation gives -96.3 kJ per mole of atoms.

---

What did the eighth record say?
First-principles (PBE-GGA) data for a relaxed NaHg2As crystal, as listed in Alexandria.

a = 4.504 Å, b = 4.504 Å, c = 4.442 Å
α = 90.00°, β = 90.00°, γ = 90.00°
Space group P4/mmm (No. 123)
Inequivalent atoms, fractional coordinates:
Na1 0.000 0.000 0.000 [1 per cell]
Hg1 0.000 0.500 0.500 [2 per cell]
As1 0.500 0.500 0.000 [1 per cell]

For the total energy, the calculation gives -6.691 eV per formula unit.

---

Please write out number 11 again, unchanged.
First-principles (PBE-GGA) data for a relaxed Li2OsCl6 crystal, as listed in Alexandria.

a = 6.257 Å, b = 6.726 Å, c = 11.616 Å
α = 90.00°, β = 119.18°, γ = 90.00°
Space group P2_1/c (No. 14)
Inequivalent atoms, fractional coordinates:
Li1 0.134 0.131 0.153 [4 per cell]
Os1 0.500 0.000 0.000 [2 per cell]
Cl1 0.152 0.062 0.791 [4 per cell]
Cl2 0.244 0.680 0.560 [4 per cell]
Cl3 0.418 0.213 0.582 [4 per cell]

For the energy above the lowest structure with this stoichiometry, the calculation gives 0.000 eV/atom. For the uncorrected formation energy, the calculation gives -97.3 kJ per mole of atoms.